# 1
NiPtI6: optimized geometry, GGA-PBE.

Cell lengths 7.0225, 7.0225, 7.5336 Å; angles 105.72, 105.72, 104.10 degrees
Fractional coordinates of all 8 atoms:
Ni 0.0000 0.0000 0.0000
Pt 0.0000 0.0000 0.5000
I 0.0990 0.7847 0.7393
I 0.2153 0.9010 0.2607
I 0.3435 0.3435 0.7549
I 0.6565 0.6565 0.2451
I 0.7847 0.0990 0.7393
I 0.9010 0.2153 0.2607

Calculated values
magnetization: 0.1 μB per formula unit
energy relative to the elements, uncorrected: -0.0830 eV/atom
volume: 40.4 Å³/atom

# 2
NiPtI3: optimized geometry, GGA-PBE.

Cell lengths 5.4913, 5.4913, 5.4913 Å; angles 90.00, 90.00, 90.00 degrees
Fractional coordinates of all 5 atoms:
Ni 0.0000 0.0000 0.0000
Pt 0.5000 0.5000 0.5000
I 0.0000 0.5000 0.5000
I 0.5000 0.0000 0.5000
I 0.5000 0.5000 0.0000

Calculated values
magnetization: 1.2 μB per formula unit
offset from the most stable computed form: 0.000 eV/atom
energy relative to the elements, uncorrected: 0.7111 eV/atom
volume: 33.1 Å³/atom